DFT (PBE) results for a relaxed CeDy2Mg crystal.

## Properties
Total moment: 0.10 μB per atom
E_form: 211 meV per atom

a = 3.3931 Å, b = 3.3931 Å, c = 36.3992 Å
α = 90.00°, β = 90.00°, γ = 120.00°
Space group R-3m (No. 166, hexagonal axes)
Unique sites:
Ce1 0.0000 0.0000 0.0000 (multiplicity 3)
Dy1 0.0000 0.0000 0.4105 (multiplicity 6)
Mg1 0.0000 0.0000 0.5000 (multiplicity 3)